(1)
This record from Alexandria describes a relaxed Ba2ScSi crystal. The functional is PBE-GGA.

## Properties
Fermi-level density of states, states/eV/cell: 5.07
E_form (uncorrected), eV/atom: -0.200

The structure in POSCAR format:
```
Ba2ScSi
1.0
4.6717 -0.0048 0.0237
2.3419 4.0423 0.0237
2.2716 1.3077 8.9347
Sc Ba Si
1 2 1
Cartesian
4.6511 2.6775 3.3652 Sc
7.0003 4.0298 0.9739 Ba
6.9766 4.0162 5.8060 Ba
2.3137 1.3319 3.3753 Si
```



(2)
This record from Alexandria describes a relaxed Ba2ScSi crystal. The functional is PBE-GGA.

## Properties
Fermi-level density of states, states/eV/cell: 4.55
E_form (uncorrected), eV/atom: 0.234

The structure in POSCAR format:
```
Ba2ScSi
1.0
-4.3742 2.3508 3.6039
0.5335 -2.4479 5.6010
4.1249 2.6976 -3.6547
Ba Sc Si
2 1 1
Cartesian
0.0000 0.0000 0.0000 Ba
1.3690 0.1006 3.2744 Ba
-1.9204 -0.0485 4.6025 Sc
-1.0849 2.4999 2.2758 Si
```



(3)
This record from Alexandria describes a relaxed BaScSi crystal. The functional is PBE-GGA.

## Properties
Fermi-level density of states, states/eV/cell: 2.08
E_form (uncorrected), eV/atom: -0.254

The structure in POSCAR format:
```
BaScSi
1.0
4.6884 0.0000 0.0000
-2.3442 4.0602 0.0000
0.0000 0.0000 4.9607
Si Ba Sc
1 1 1
Cartesian
0.0000 2.7068 2.4819 Si
0.0000 0.0000 4.9602 Ba
2.3442 1.3534 2.4793 Sc
```



(4)
This record from Alexandria describes a relaxed Ba2ScSi crystal. The functional is PBE-GGA.

## Properties
Fermi-level density of states, states/eV/cell: 4.71
E_form (uncorrected), eV/atom: 0.279

The structure in POSCAR format:
```
Ba2ScSi
1.0
5.6011 0.0000 0.0000
2.8006 4.8507 0.0000
2.8006 1.6169 4.5733
Sc Si Ba
1 1 2
Cartesian
5.6011 3.2338 2.2867 Sc
8.4017 4.8507 3.4300 Si
2.8006 1.6169 1.1433 Ba
0.0000 0.0000 0.0000 Ba
```